# Pm3Si2Ni

A relaxed Pm3Si2Ni crystal (PBE, the Alexandria database).

a b c (Å): 7.2883 7.2883 7.2883
angles (deg): 66.16 66.16 66.16
Atoms (fractional coordinates):
Si: 0.8629 0.8629 0.8629
Si: 0.6371 0.6371 0.6371
Pm: 0.9518 0.2500 0.5482
Ni: 0.0000 0.0000 0.0000
Ni: 0.5000 0.5000 0.5000
Pm: 0.5482 0.9518 0.2500
Si: 0.1371 0.1371 0.1371
Pm: 0.0482 0.7500 0.4518
Pm: 0.7500 0.4518 0.0482
Pm: 0.2500 0.5482 0.9518
Pm: 0.4518 0.0482 0.7500
Si: 0.3629 0.3629 0.3629

**Uncorrected formation energy**: -0.470 eV per atom